This record from Alexandria via LeMat-Bulk describes LiCo2O4 at its PBEsol-relaxed geometry. The functional is SCAN.

a b c (Å): 5.5834 4.7957 9.8550
angles (deg): 90.00 90.00 90.00
Fractional coordinates of all 28 atoms:
Li (0.0000, 0.1574, 0.2500)
Li (0.0000, 0.8426, 0.7500)
Li (0.5000, 0.3426, 0.7500)
Li (0.5000, 0.6574, 0.2500)
Co (0.1252, 0.2545, 0.5039)
Co (0.1252, 0.7455, 0.0039)
Co (0.3748, 0.2455, 0.0039)
Co (0.3748, 0.7545, 0.5039)
Co (0.6252, 0.2455, 0.4961)
Co (0.6252, 0.7545, 0.9961)
Co (0.8748, 0.2545, 0.9961)
Co (0.8748, 0.7455, 0.4961)
O (0.1236, 0.4081, 0.1000)
O (0.1236, 0.5919, 0.6000)
O (0.1255, 0.0771, 0.9047)
O (0.1255, 0.9229, 0.4047)
O (0.3745, 0.4229, 0.4047)
O (0.3745, 0.5771, 0.9047)
O (0.3764, 0.0919, 0.6000)
O (0.3764, 0.9081, 0.1000)
O (0.6236, 0.0919, 0.9000)
O (0.6236, 0.9081, 0.4000)
O (0.6255, 0.4229, 0.0953)
O (0.6255, 0.5771, 0.5953)
O (0.8745, 0.0771, 0.5953)
O (0.8745, 0.9229, 0.0953)
O (0.8764, 0.4081, 0.4000)
O (0.8764, 0.5919, 0.9000)

Values from the calculation:
**Volume**: 66.0 Å³/f.u.
**Mass density**: 4.8 g cm⁻³
**Uncorrected energy**: -0.3827 hartree per atom


This record from Alexandria via LeMat-Bulk describes FeRuRh at its PBEsol-relaxed geometry. The functional is SCAN.

a b c (Å): 4.0188 4.0188 4.0188
angles (deg): 60.00 60.00 60.00
Fractional coordinates of all 3 atoms:
Fe (0.0000, 0.0000, 0.0000)
Ru (0.2500, 0.2500, 0.2500)
Rh (0.5000, 0.5000, 0.5000)

Values from the calculation:
**Volume**: 45.9 Å³/f.u.
**Mass density**: 9.4 g cm⁻³
**Uncorrected energy**: -1.0398 hartree per atom
**Energy of formation**: 0.614 eV per atom


This record from Alexandria via LeMat-Bulk describes Ba2LaTc at its PBEsol-relaxed geometry. The functional is SCAN.

a b c (Å): 6.3892 6.3892 3.5066
angles (deg): 90.00 90.00 120.82
Fractional coordinates of all 4 atoms:
Ba (0.0000, 0.5000, 0.0000)
Ba (0.5000, 0.0000, 0.0000)
La (0.0000, 0.0000, 0.5000)
Tc (0.5000, 0.5000, 0.5000)

Values from the calculation:
**Volume**: 122.9 Å³/f.u.
**Mass density**: 6.9 g cm⁻³
**Uncorrected energy**: -1.4107 hartree per atom
**Energy of formation**: 0.930 eV per atom


This record from Alexandria via LeMat-Bulk describes NaHS2Cl at its PBEsol-relaxed geometry. The functional is SCAN.

a b c (Å): 3.6454 3.6454 6.9284
angles (deg): 90.00 90.00 90.00
Fractional coordinates of all 5 atoms:
Na (0.0000, 0.0000, 0.0000)
H (0.5000, 0.5000, 0.5000)
S (0.0000, 0.5000, 0.5000)
S (0.5000, 0.0000, 0.5000)
Cl (0.5000, 0.5000, 0.0000)

Values from the calculation:
**Volume**: 92.1 Å³/f.u.
**Mass density**: 2.2 g cm⁻³
**Uncorrected energy**: -0.2636 hartree per atom